(1)
CsLuMo2O8 | PBE with a Hubbard U | optimized geometry

Cell and atoms, written as extended XYZ:
```
24
Lattice="-2.666 5.995 -3.787 -4.100 -4.327 -4.675 -7.656 1.082 -0.210" Properties=species:S:1:pos:R:3 pbc="T T T"
O -4.578 -0.793 -1.980
Cs -4.855 4.282 -4.010
Cs -9.566 -1.532 -4.662
O -11.403 1.278 -7.499
Mo -7.650 1.310 -2.749
Mo -3.824 0.749 -2.646
O -7.104 0.159 -1.438
O -5.073 1.956 -5.747
Mo -10.597 2.001 -6.027
O -9.843 3.544 -6.692
Lu -5.691 -1.733 -4.528
O -5.316 1.727 -2.693
Mo -6.772 1.440 -5.923
O -3.986 -0.239 -4.474
O -7.496 2.596 -4.382
O -6.926 0.154 -4.291
O -7.318 2.591 -7.234
O -9.106 1.023 -5.979
O -7.973 2.864 -1.817
O -6.448 -0.114 -6.855
O -10.435 2.989 -4.198
Lu -8.731 4.483 -4.145
O -9.349 0.794 -2.925
O -3.018 1.472 -1.174
```

- Space group: C2/c
- Uncorrected energy: -169.48 eV for the cell shown



(2)
CsLuMo2O8 | PBE with a Hubbard U | optimized geometry

Cell and atoms, written as extended XYZ:
```
12
Lattice="6.014 0.000 0.000 -3.007 5.208 0.000 0.000 0.000 8.382" Properties=species:S:1:pos:R:3 pbc="T T T"
O 0.000 1.754 7.065
Lu 0.000 0.000 0.000
Cs 0.000 0.000 4.191
O 4.495 0.877 1.317
Mo 0.000 3.472 6.496
O 3.007 3.455 1.317
O 3.007 1.736 3.638
O 1.489 4.331 7.065
O 1.519 0.877 1.317
O -1.488 4.331 7.065
O 0.000 3.472 4.744
Mo 3.007 1.736 1.886
```

- Space group: P-3m1
- Uncorrected energy: -85.87 eV for the cell shown



(3)
CsLuMo2O8 | PBE with a Hubbard U | optimized geometry

Cell and atoms, written as extended XYZ:
```
24
Lattice="5.048 0.000 0.000 0.000 8.055 0.000 0.000 0.000 9.728" Properties=species:S:1:pos:R:3 pbc="T T T"
O 3.811 4.028 0.616
Mo 2.393 0.000 7.891
Mo 2.393 4.028 1.837
O 3.759 2.596 7.990
O 1.997 0.000 3.460
Mo 2.655 4.028 7.891
O 1.237 4.028 9.112
Cs 0.000 2.014 4.864
Lu 0.000 6.041 0.000
O 3.811 0.000 9.112
O 3.759 6.624 1.737
O 1.997 4.028 6.267
O 1.289 1.431 7.990
O 3.050 0.000 6.267
O 1.237 0.000 0.616
O 1.289 5.459 1.737
O 1.289 6.624 7.990
Lu 0.000 2.014 0.000
O 3.759 1.431 1.737
O 3.050 4.028 3.460
O 3.759 5.459 7.990
Mo 2.655 0.000 1.837
Cs 0.000 6.041 4.864
O 1.289 2.596 1.737
```

- Space group: Pccm
- Uncorrected energy: -170.74 eV for the cell shown



| no. | DOS(E_F) (states/eV/f.u.) |
| --- | --- |
| 1 | 0.000 |
| 2 | 0.000 |
| 3 | 0.000 |